[1]
Computed, not measured: a relaxed structure of NaPuMnCl6 at the PBE level of DFT.

Summary:
Crystal system: trigonal

Lattice parameters (Å, degrees): 6.8065 6.8065 12.4564 90.00 90.00 120.00
Space group P-31c (No. 163)
Symmetry-distinct sites (fractional):
Na  0.0000  0.0000  0.0000 (multiplicity 2)
Pu  0.3333  0.6667  0.2500 (multiplicity 2)
Mn  0.3333  0.6667  0.7500 (multiplicity 2)
Cl  0.0211  0.3629  0.6337 (multiplicity 12)

---

[2]
Computed, not measured: a relaxed structure of RbNaMn2Cl8 at the PBE level of DFT.

Summary:
Crystal system: trigonal

Lattice parameters (Å, degrees): 6.7296 6.7296 9.4750 90.00 90.00 120.00
Space group P-3 (No. 147)
Symmetry-distinct sites (fractional):
Rb  0.0000  0.0000  0.0000 (multiplicity 1)
Na  0.0000  0.0000  0.5000 (multiplicity 1)
Mn  0.3333  0.6667  0.7526 (multiplicity 2)
Cl  0.0225  0.3368  0.6916 (multiplicity 6)
Cl  0.3333  0.6667  0.9841 (multiplicity 2)

---

no.,D(E_F) (states/eV per atom),formation energy (no corrections) (eV/atom)
1,1.1507,-1.6003
2,1.3154,-1.2074